1.
{"formula": "PuNiRu", "functional": "PBE-GGA", "state": "relaxed", "sg": "P-6m2, No. 187", "delta_e_f_ev_per_atom": -0.002, "relative_energy_mev_per_atom": 225, "cell": [[4.126, 0.000, 0.000], [-2.063, 3.573, 0.000], [0.000, 0.000, 3.689]], "species": ["Pu", "Ni", "Ru"], "fractional_positions": [[0.000, 0.000, 0.000], [0.667, 0.333, 0.500], [0.333, 0.667, 0.500]]}


2.
{"formula": "ThMnCu", "functional": "PBE-GGA", "state": "relaxed", "sg": "P-6m2, No. 187", "delta_e_f_ev_per_atom": 0.048, "cell": [[4.264, 0.000, 0.000], [-2.132, 3.693, 0.000], [0.000, 0.000, 3.912]], "species": ["Th", "Mn", "Cu"], "fractional_positions": [[0.000, 0.000, 0.000], [0.333, 0.667, 0.500], [0.667, 0.333, 0.500]]}


3.
{"formula": "K2LaBeZn", "functional": "PBE-GGA", "state": "relaxed", "sg": "P4/mmm, No. 123", "delta_e_f_ev_per_atom": 0.739, "cell": [[6.367, 0.000, 0.000], [0.000, 6.367, 0.000], [0.000, 0.000, 4.445]], "species": ["K", "K", "La", "Be", "Zn"], "fractional_positions": [[0.000, 0.500, 0.000], [0.500, 0.000, 0.000], [0.000, 0.000, 0.500], [0.500, 0.500, 0.500], [0.500, 0.500, 0.000]]}


4.
{"formula": "Ca5La", "functional": "PBE-GGA", "state": "relaxed", "sg": "Cmmm, No. 65", "delta_e_f_ev_per_atom": 0.060, "relative_energy_mev_per_atom": 27, "cell": [[3.079, -9.247, 0.000], [3.079, 9.247, 0.000], [0.000, 0.000, 4.286]], "species": ["Ca", "Ca", "Ca", "Ca", "Ca", "La"], "fractional_positions": [[0.000, 0.000, 0.000], [0.163, 0.837, 0.500], [0.334, 0.666, 0.000], [0.666, 0.334, 0.000], [0.837, 0.163, 0.500], [0.500, 0.500, 0.500]]}


5.
{"formula": "La4Nd3In2", "functional": "PBE-GGA", "state": "relaxed", "sg": "P-1, No. 2", "delta_e_f_ev_per_atom": -0.208, "relative_energy_mev_per_atom": 28, "cell": [[6.129, 0.000, 0.000], [3.057, 5.334, 0.000], [2.733, -0.871, 8.933]], "species": ["La", "La", "La", "La", "Nd", "Nd", "Nd", "In", "In"], "fractional_positions": [[0.164, 0.071, 0.346], [0.309, 0.343, 0.999], [0.691, 0.657, 0.001], [0.836, 0.929, 0.654], [0.000, 0.000, 0.000], [0.482, 0.393, 0.344], [0.518, 0.607, 0.656], [0.163, 0.272, 0.679], [0.837, 0.728, 0.321]]}


6.
{"formula": "MoRhBr2", "functional": "PBE-GGA", "state": "relaxed", "sg": "Cm, No. 8", "relative_energy_mev_per_atom": 0, "e_form_raw_ev_per_atom": -0.01, "cell": [[3.464, -1.628, 0.000], [3.464, 1.628, 0.000], [-1.537, 0.000, 8.593]], "species": ["Mo", "Rh", "Br", "Br"], "fractional_positions": [[0.000, 0.000, 0.000], [0.303, 0.303, 0.158], [0.459, 0.459, 0.772], [0.644, 0.644, 0.358]]}


7.
{"formula": "VTcRh2", "functional": "PBE-GGA", "state": "relaxed", "sg": "Fm-3m, No. 225", "delta_e_f_ev_per_atom": 0.164, "relative_energy_mev_per_atom": 432, "cell": [[0.000, 3.078, 3.078], [3.078, 0.000, 3.078], [3.078, 3.078, 0.000]], "species": ["V", "Tc", "Rh", "Rh"], "fractional_positions": [[0.000, 0.000, 0.000], [0.500, 0.500, 0.500], [0.250, 0.250, 0.250], [0.750, 0.750, 0.750]]}


8.
{"formula": "ZrNpCuS4", "functional": "PBE-GGA", "state": "relaxed", "sg": "Imma, No. 74", "e_form_raw_ev_per_atom": -1.18, "cell": [[-3.704, 3.862, 5.333], [3.704, -3.862, 5.333], [3.704, 3.862, -5.333]], "species": ["Zr", "Zr", "Np", "Np", "Cu", "Cu", "S", "S", "S", "S", "S", "S", "S", "S"], "fractional_positions": [[0.500, 0.000, 0.000], [0.500, 0.500, 0.500], [0.000, 0.000, 0.000], [0.500, 0.000, 0.500], [0.121, 0.371, 0.750], [0.879, 0.629, 0.250], [0.256, 0.746, 0.510], [0.257, 0.262, 0.505], [0.257, 0.752, 0.995], [0.265, 0.254, 0.010], [0.735, 0.746, 0.990], [0.743, 0.248, 0.005], [0.743, 0.738, 0.495], [0.744, 0.254, 0.490]]}


9.
{"formula": "MgH22SO15", "functional": "PBE-GGA", "state": "relaxed", "sg": "P-1, No. 2", "energy_ev_per_atom": -5.148, "cell": [[6.715, 0.000, 0.000], [3.103, 6.114, 0.000], [0.226, 0.805, 17.455]], "species": ["Mg", "Mg", "H", "H", "H", "H", "H", "H", "H", "H", "H", "H", "H", "H", "H", "H", "H", "H", "H", "H", "H", "H", "H", "H", "H", "H", "H", "H", "H", "H", "H", "H", "H", "H", "H", "H", "H", "H", "H", "H", "H", "H", "H", "H", "H", "H", "S", "S", "O", "O", "O", "O", "O", "O", "O", "O", "O", "O", "O", "O", "O", "O", "O", "O", "O", "O", "O", "O", "O", "O", "O", "O", "O", "O", "O", "O", "O", "O"], "fractional_positions": [[0.000, 0.000, 0.000], [0.000, 0.000, 0.500], [0.028, 0.573, 0.216], [0.048, 0.033, 0.656], [0.072, 0.744, 0.741], [0.091, 0.898, 0.845], [0.114, 0.595, 0.573], [0.133, 0.189, 0.612], [0.150, 0.269, 0.421], [0.156, 0.037, 0.260], [0.198, 0.672, 0.108], [0.224, 0.258, 0.974], [0.247, 0.571, 0.919], [0.260, 0.575, 0.234], [0.287, 0.143, 0.057], [0.292, 0.404, 0.856], [0.316, 0.865, 0.885], [0.335, 0.297, 0.160], [0.401, 0.690, 0.067], [0.414, 0.362, 0.353], [0.437, 0.815, 0.540], [0.438, 0.123, 0.342], [0.449, 0.766, 0.452], [0.459, 0.044, 0.182], [0.541, 0.956, 0.818], [0.551, 0.234, 0.548], [0.562, 0.877, 0.658], [0.563, 0.185, 0.460], [0.586, 0.638, 0.647], [0.599, 0.310, 0.933], [0.665, 0.703, 0.840], [0.684, 0.135, 0.115], [0.708, 0.596, 0.144], [0.713, 0.857, 0.943], [0.740, 0.425, 0.766], [0.753, 0.429, 0.081], [0.776, 0.742, 0.026], [0.802, 0.328, 0.892], [0.844, 0.963, 0.740], [0.850, 0.731, 0.579], [0.867, 0.811, 0.388], [0.886, 0.405, 0.427], [0.909, 0.102, 0.155], [0.928, 0.256, 0.259], [0.952, 0.967, 0.344], [0.972, 0.427, 0.784], [0.411, 0.319, 0.700], [0.589, 0.681, 0.300], [0.007, 0.904, 0.747], [0.014, 0.269, 0.445], [0.044, 0.109, 0.607], [0.167, 0.867, 0.896], [0.173, 0.548, 0.194], [0.195, 0.160, 0.011], [0.224, 0.436, 0.754], [0.240, 0.731, 0.061], [0.314, 0.411, 0.912], [0.320, 0.329, 0.622], [0.345, 0.826, 0.494], [0.397, 0.239, 0.379], [0.435, 0.151, 0.139], [0.438, 0.576, 0.301], [0.460, 0.917, 0.273], [0.540, 0.083, 0.727], [0.562, 0.424, 0.699], [0.565, 0.849, 0.861], [0.603, 0.761, 0.621], [0.655, 0.174, 0.506], [0.680, 0.671, 0.378], [0.686, 0.589, 0.088], [0.760, 0.269, 0.939], [0.776, 0.564, 0.246], [0.805, 0.840, 0.989], [0.827, 0.452, 0.806], [0.833, 0.133, 0.104], [0.956, 0.891, 0.393], [0.986, 0.731, 0.555], [0.993, 0.096, 0.253]]}


10.
{"formula": "Zr2AsPb", "functional": "PBE-GGA", "state": "relaxed", "sg": "I-42d, No. 122", "delta_e_f_ev_per_atom": 0.181, "relative_energy_mev_per_atom": 819, "cell": [[-3.154, 3.154, 6.438], [3.154, -3.154, 6.438], [3.154, 3.154, -6.438]], "species": ["Zr", "Zr", "Zr", "Zr", "As", "As", "Pb", "Pb"], "fractional_positions": [[0.089, 0.625, 0.964], [0.375, 0.339, 0.464], [0.661, 0.125, 0.036], [0.875, 0.911, 0.536], [0.000, 0.000, 0.000], [0.750, 0.250, 0.500], [0.250, 0.750, 0.500], [0.500, 0.500, 0.000]]}


11.
{"formula": "KEr2MgTe4", "functional": "PBE-GGA", "state": "relaxed", "sg": "Cmcm, No. 63", "e_form_raw_ev_per_atom": -1.14, "cell": [[2.216, -7.544, 0.000], [2.216, 7.544, 0.000], [0.000, 0.000, 15.681]], "species": ["K", "K", "Er", "Er", "Er", "Er", "Mg", "Mg", "Te", "Te", "Te", "Te", "Te", "Te", "Te", "Te"], "fractional_positions": [[0.123, 0.877, 0.750], [0.877, 0.123, 0.250], [0.375, 0.625, 0.557], [0.375, 0.625, 0.943], [0.625, 0.375, 0.057], [0.625, 0.375, 0.443], [0.160, 0.840, 0.250], [0.840, 0.160, 0.750], [0.000, 0.000, 0.000], [0.000, 0.000, 0.500], [0.265, 0.735, 0.108], [0.265, 0.735, 0.392], [0.447, 0.553, 0.750], [0.553, 0.447, 0.250], [0.735, 0.265, 0.608], [0.735, 0.265, 0.892]]}


12.
{"formula": "PaCd4Hg2", "functional": "PBE-GGA", "state": "relaxed", "sg": "Cmmm, No. 65", "delta_e_f_ev_per_atom": 0.027, "cell": [[2.489, -10.697, 0.000], [2.489, 10.697, 0.000], [0.000, 0.000, 3.055]], "species": ["Pa", "Cd", "Cd", "Cd", "Cd", "Hg", "Hg"], "fractional_positions": [[0.000, 0.000, 0.000], [0.150, 0.850, 0.500], [0.289, 0.711, 0.000], [0.711, 0.289, 0.000], [0.850, 0.150, 0.500], [0.426, 0.574, 0.500], [0.574, 0.426, 0.500]]}